VASP calculation (PBE-GGA) on a geometry-optimized K2TiGeP2O10 structure.

Cell: 12.7944 6.5045 10.4269 Å, 90.00 90.00 90.00°
With the nearest neighbours (Å) after each atom.
Space group Pna2_1 (No. 33)
One atom of each set of equivalent atoms:
K1 0.1039 0.1957 0.0000 (multiplicity 4)  5 O 2.70-3.02
K2 0.1181 0.7802 0.7483 (multiplicity 4)  6 O 2.72-2.95
Ti1 0.1330 0.4973 0.4379 (multiplicity 4)  4 O 1.83-2.04
Ge1 0.2457 0.7539 0.1866 (multiplicity 4)  5 O 1.82-1.97
P1 0.0007 0.3345 0.6892 (multiplicity 4)  4 O 1.54-1.56
P2 0.1837 0.0031 0.4395 (multiplicity 4)  4 O 1.55-1.57
O1 0.0120 0.5348 0.3125 (multiplicity 4)  1 P 1.55
O2 0.0148 0.4840 0.5755 (multiplicity 4)  1 P 1.54
O3 0.0953 0.8096 0.1669 (multiplicity 4)  1 P 1.56
O4 0.0982 0.1929 0.7072 (multiplicity 4)  1 P 1.56
O5 0.1154 0.1932 0.4099 (multiplicity 4)  1 P 1.55
O6 0.1154 0.8139 0.4716 (multiplicity 4)  1 P 1.55
O7 0.2273 0.5566 0.3110 (multiplicity 4)  1 Ti 1.83, 1 Ge 1.84
O8 0.2285 0.4530 0.5674 (multiplicity 4)  1 Ge 1.82, 1 Ti 1.84
O9 0.2413 0.5419 0.0556 (multiplicity 4)  1 P 1.57
O10 0.2428 0.4594 0.8230 (multiplicity 4)  1 P 1.56

Output
Formation energy (no corrections) (eV per atom): -2.34
Mass density (g/cm3): 3.22
D(E_F) (states/eV per cell): 0.00

***

VASP calculation (PBE-GGA) on a geometry-optimized K2PaGe2O6 structure.

Cell: 9.9357 6.0079 7.1101 Å, 90.00 114.85 90.00°
With the nearest neighbours (Å) after each atom.
Space group C2/m (No. 12)
One atom of each set of equivalent atoms:
K1 0.2156 0.0000 0.1758 (multiplicity 4)  5 O 2.82-3.11
Pa1 0.0000 0.0000 0.5000 (multiplicity 2)  6 O 2.16-2.22
Ge1 0.0683 0.5000 0.2086 (multiplicity 4)  3 O 1.84-1.87
O1 0.0219 0.2579 0.7344 (multiplicity 8)  1 Ge 1.84
O2 0.2363 0.0000 0.5899 (multiplicity 4)  1 Ge 1.87

Output
Formation energy (no corrections) (eV per atom): -2.17
Mass density (g/cm3): 4.75
D(E_F) (states/eV per cell): 2.22

***

VASP calculation (PBE-GGA) on a geometry-optimized KPaGeO6 structure.

Cell: 5.6201 5.6201 4.7601 Å, 90.00 90.00 120.00°
With the nearest neighbours (Å) after each atom.
Space group P312 (No. 149)
One atom of each set of equivalent atoms:
K1 0.0000 0.0000 0.0000 (multiplicity 1)  6 O 2.63
Pa1 0.6667 0.3333 0.5000 (multiplicity 1)  6 O 2.19
Ge1 0.3333 0.6667 0.0000 (multiplicity 1)  6 O 1.93
O1 0.0234 0.4344 0.2352 (multiplicity 6)  1 Ge 1.93

Output
Formation energy (no corrections) (eV per atom): -1.91
Mass density (g/cm3): 5.60
D(E_F) (states/eV per cell): 1.87

***

VASP calculation (PBE-GGA) on a geometry-optimized K4PaGe3O12 structure.

Cell: 8.0198 8.0198 8.0198 Å, 90.00 90.00 90.00°
With the nearest neighbours (Å) after each atom.
Space group Im-3m (No. 229)
One atom of each set of equivalent atoms:
K1 0.2500 0.2500 0.2500 (multiplicity 8)  12 O 2.84
Pa1 0.0000 0.0000 0.0000 (multiplicity 2)  6 O 2.16
Ge1 0.0000 0.0000 0.5000 (multiplicity 6)  6 O 1.85-2.00
O1 0.0000 0.0000 0.2690 (multiplicity 12)  1 Ge 1.85
O2 0.0000 0.2500 0.5000 (multiplicity 12)  2 Ge 2.00

Output
Formation energy (no corrections) (eV per atom): -1.73
Mass density (g/cm3): 5.13
D(E_F) (states/eV per cell): 13.52

***

VASP calculation (PBE-GGA) on a geometry-optimized K3PaGe2O8 structure.

Cell: 5.9343 5.9343 7.8832 Å, 90.00 90.00 120.00°
With the nearest neighbours (Å) after each atom.
Space group P-3m1 (No. 164)
One atom of each set of equivalent atoms:
K1 0.0000 0.0000 0.0000 (multiplicity 1)  12 O 3.22-3.43
K2 0.3333 0.6667 0.7143 (multiplicity 2)  1 O 2.49
Pa1 0.0000 0.0000 0.5000 (multiplicity 1)  6 O 2.18
Ge1 0.3333 0.6667 0.2443 (multiplicity 2)  4 O 1.69-1.82
O1 0.1727 0.3453 0.3402 (multiplicity 6)  1 Ge 1.82
O2 0.3333 0.6667 0.0300 (multiplicity 2)  1 Ge 1.69

Output
Formation energy (no corrections) (eV per atom): -2.23
Mass density (g/cm3): 4.29
D(E_F) (states/eV per cell): 0.00

***

VASP calculation (PBE-GGA) on a geometry-optimized K2PaGe3O12 structure.

Cell: 7.0877 7.0877 18.4874 Å, 90.00 90.00 120.00°
With the nearest neighbours (Å) after each atom.
Space group R-3m (No. 166, hexagonal axes)
One atom of each set of equivalent atoms:
K1 0.0000 0.0000 0.1124 (multiplicity 6)  6 O 3.03-3.21
Pa1 0.0000 0.0000 0.5000 (multiplicity 3)  6 O 2.14
Ge1 0.0000 0.5000 0.0000 (multiplicity 9)  6 O 1.89-1.90
O1 0.0458 0.5229 0.1011 (multiplicity 18)  1 Ge 1.89
O2 0.0675 0.5337 0.3503 (multiplicity 18)  2 Ge 1.90

Output
Formation energy (no corrections) (eV per atom): -1.54
Mass density (g/cm3): 4.45
D(E_F) (states/eV per cell): 32.79

***

VASP calculation (PBE-GGA) on a geometry-optimized K3PaGe2O9 structure.

Cell: 5.7109 5.7109 7.0240 Å, 90.00 90.00 120.00°
With the nearest neighbours (Å) after each atom.
Space group P-3m1 (No. 164)
One atom of each set of equivalent atoms:
K1 0.0000 0.0000 0.0000 (multiplicity 1)  12 O 2.82-2.86
K2 0.3333 0.6667 0.6772 (multiplicity 2)  12 O 2.80-2.98
Pa1 0.0000 0.0000 0.5000 (multiplicity 1)  6 O 2.17
Ge1 0.3333 0.6667 0.1621 (multiplicity 2)  6 O 1.89-2.00
O1 0.0000 0.5000 0.0000 (multiplicity 3)  2 Ge 2.00
O2 0.1758 0.3515 0.3156 (multiplicity 6)  1 Ge 1.89

Output
Formation energy (no corrections) (eV per atom): -1.89
Mass density (g/cm3): 5.34
D(E_F) (states/eV per cell): 6.67

***

VASP calculation (PBE-GGA) on a geometry-optimized KPaGeO5 structure.

Cell: 7.4899 9.7832 8.1174 Å, 90.00 115.30 90.00°
With the nearest neighbours (Å) after each atom.
Space group C2/c (No. 15)
One atom of each set of equivalent atoms:
K1 0.0000 0.1675 0.2500 (multiplicity 4)  5 O 2.62-2.86
Pa1 0.0000 0.5000 0.0000 (multiplicity 4)  6 O 2.13-2.23
Ge1 0.0000 0.1846 0.7500 (multiplicity 4)  4 O 1.78-1.79
O1 0.0000 0.4356 0.2500 (multiplicity 4)  2 Pa 2.13
O2 0.0834 0.2910 0.6180 (multiplicity 8)  1 Ge 1.79
O3 0.1925 0.0733 0.8927 (multiplicity 8)  1 Ge 1.78

Output
Formation energy (no corrections) (eV per atom): -2.62
Mass density (g/cm3): 5.22
D(E_F) (states/eV per cell): 0.00

***

VASP calculation (PBE-GGA) on a geometry-optimized KGe2PbO structure.

Cell: 4.7078 4.7078 5.3455 Å, 90.00 90.00 90.00°
With the nearest neighbours (Å) after each atom.
Space group P4/mmm (No. 123)
One atom of each set of equivalent atoms:
K1 0.0000 0.0000 0.0000 (multiplicity 1)  2 O 2.67
Ge1 0.0000 0.5000 0.5000 (multiplicity 2)  2 O 2.35
Pb1 0.5000 0.5000 0.0000 (multiplicity 1)  4 K 3.33, 8 Ge 3.56
O1 0.0000 0.0000 0.5000 (multiplicity 1)  4 Ge 2.35

Output
Formation energy (no corrections) (eV per atom): -0.15
Mass density (g/cm3): 5.71
D(E_F) (states/eV per cell): 2.48

***

VASP calculation (PBE-GGA) on a geometry-optimized K2GePbO4 structure.

Cell: 8.0524 6.8172 5.7063 Å, 90.00 90.00 90.00°
With the nearest neighbours (Å) after each atom.
Space group Pmn2_1 (No. 31)
One atom of each set of equivalent atoms:
K1 0.2441 0.1790 0.0000 (multiplicity 4)  4 O 2.64-2.75
Ge1 0.0000 0.3476 0.5271 (multiplicity 2)  4 O 1.78-1.82
Pb1 0.0000 0.6892 0.0065 (multiplicity 2)  2 O 2.19-2.25
O1 0.0000 0.3992 0.8403 (multiplicity 2)  1 Ge 1.82
O2 0.0000 0.5835 0.3808 (multiplicity 2)  1 Ge 1.81
O3 0.1857 0.2148 0.4718 (multiplicity 4)  1 Ge 1.78

Output
Formation energy (no corrections) (eV per atom): -1.59
Mass density (g/cm3): 4.47
D(E_F) (states/eV per cell): 0.00

***

VASP calculation (PBE-GGA) on a geometry-optimized KGe2PbO6 structure.

Cell: 10.8605 11.0167 5.4917 Å, 90.00 100.45 90.00°
With the nearest neighbours (Å) after each atom.
Space group C2/c (No. 15)
One atom of each set of equivalent atoms:
K1 0.0000 0.0910 0.2500 (multiplicity 4)  6 O 2.62-2.70
Ge1 0.2150 0.4135 0.2473 (multiplicity 8)  4 O 1.75-1.83
Pb1 0.0000 0.2823 0.7500 (multiplicity 4)  4 O 2.29-2.30
O1 0.1193 0.2899 0.1379 (multiplicity 8)  1 Ge 1.75
O2 0.1244 0.1176 0.7029 (multiplicity 8)  1 Ge 1.75
O3 0.1738 0.4569 0.5433 (multiplicity 8)  2 Ge 1.82-1.83

Output
Formation energy (no corrections) (eV per atom): -1.45
Mass density (g/cm3): 5.01
D(E_F) (states/eV per cell): 4.85

***

VASP calculation (PBE-GGA) on a geometry-optimized KGe2PdO6 structure.

Cell: 10.6829 10.2798 5.7806 Å, 90.00 106.10 90.00°
With the nearest neighbours (Å) after each atom.
Space group C2/c (No. 15)
One atom of each set of equivalent atoms:
K1 0.0000 0.0941 0.2500 (multiplicity 4)  6 O 2.49-2.68
Ge1 0.2118 0.4111 0.1378 (multiplicity 8)  4 O 1.74-1.85
Pd1 0.0000 0.2815 0.7500 (multiplicity 4)  4 O 2.00-2.16
O1 0.0992 0.2845 0.0994 (multiplicity 8)  1 Ge 1.74
O2 0.1269 0.1254 0.7069 (multiplicity 8)  1 Ge 1.75
O3 0.1697 0.4561 0.8151 (multiplicity 8)  2 Ge 1.84-1.85

Output
Formation energy (no corrections) (eV per atom): -1.22
Mass density (g/cm3): 4.21
D(E_F) (states/eV per cell): 5.97